# 1
LiHg15 (GGA-PBE, relaxed); SG = P-6m2 (187)
1.0
-5.422 -1.138 -3.834
6.096 0.447 -2.834
1.366 -10.714 1.249
Li Hg
1 15
Direct
0.000 0.000 0.000 Li
0.000 0.000 0.500 Hg
0.012 0.506 0.000 Hg
0.991 0.496 0.500 Hg
0.494 0.988 0.000 Hg
0.504 0.009 0.500 Hg
0.494 0.506 0.000 Hg
0.504 0.496 0.500 Hg
0.835 0.165 0.238 Hg
0.835 0.165 0.762 Hg
0.835 0.671 0.238 Hg
0.835 0.671 0.762 Hg
0.329 0.165 0.238 Hg
0.329 0.165 0.762 Hg
0.333 0.667 0.262 Hg
0.333 0.667 0.738 Hg

# 2
LiHg (GGA-PBE, relaxed); SG = Cmcm (63)
1.0
-0.529 -5.672 0.057
1.531 4.693 2.844
-4.258 0.414 1.610
Hg Li
2 2
Direct
0.589 0.411 0.750 Hg
0.411 0.589 0.250 Hg
0.843 0.157 0.750 Li
0.157 0.843 0.250 Li

# 3
LiHg3 (GGA-PBE, relaxed); SG = R-3m (166)
1.0
5.938 -0.032 -0.097
-2.671 5.303 -0.097
-2.671 -4.310 3.091
Hg Li
3 1
Direct
0.000 0.000 0.000 Hg
0.000 0.500 0.500 Hg
0.500 0.000 0.500 Hg
0.500 0.500 0.000 Li

# 4
Li3Hg8 (GGA-PBE, relaxed); SG = Pm-3m (221)
1.0
6.479 -0.083 -0.081
0.082 6.479 -0.081
0.082 0.079 6.479
Li Hg
3 8
Direct
0.500 0.000 0.500 Li
0.000 0.500 0.500 Li
0.500 0.500 0.000 Li
0.758 0.242 0.242 Hg
0.242 0.242 0.758 Hg
0.242 0.758 0.242 Hg
0.242 0.242 0.242 Hg
0.758 0.758 0.758 Hg
0.758 0.242 0.758 Hg
0.758 0.758 0.242 Hg
0.242 0.758 0.758 Hg

# 5
LiHg (GGA-PBE, relaxed); SG = Pm-3n (223)
1.0
7.539 0.000 0.000
0.000 7.539 0.000
0.000 0.000 7.539
Li Hg
6 6
Direct
0.250 0.000 0.500 Li
0.750 0.000 0.500 Li
0.000 0.500 0.250 Li
0.000 0.500 0.750 Li
0.500 0.250 0.000 Li
0.500 0.750 0.000 Li
0.250 0.500 0.000 Hg
0.750 0.500 0.000 Hg
0.500 0.000 0.250 Hg
0.500 0.000 0.750 Hg
0.000 0.250 0.500 Hg
0.000 0.750 0.500 Hg

# 6
Li5Hg (GGA-PBE, relaxed); SG = C2/m (12)
1.0
-3.883 0.219 1.730
0.743 -3.875 -3.077
2.188 -1.767 5.134
Li Hg
5 1
Direct
0.313 0.627 0.628 Li
0.631 0.262 0.261 Li
0.641 0.282 0.787 Li
0.972 0.945 0.444 Li
0.304 0.607 0.102 Li
0.972 0.944 0.944 Hg

# 7
LiHg3 (GGA-PBE, relaxed); SG = Cmcm (63)
1.0
-4.679 -1.146 3.427
-2.512 -3.620 -3.942
2.692 -4.305 2.236
Hg Li
6 2
Direct
0.967 0.033 0.750 Hg
0.033 0.967 0.250 Hg
0.142 0.500 0.750 Hg
0.858 0.500 0.250 Hg
0.500 0.858 0.750 Hg
0.500 0.142 0.250 Hg
0.375 0.625 0.250 Li
0.625 0.375 0.750 Li

# 8
Li2Hg3 (GGA-PBE, relaxed); SG = R-3c (167); excess energy over the best structure of this formula in the dataset = 103.3 meV per atom
1.0
8.071 0.000 0.000
4.036 6.990 0.000
4.036 2.330 3.697
Hg Li
6 4
Direct
0.069 0.750 0.750 Hg
0.750 0.431 0.750 Hg
0.431 0.069 0.750 Hg
0.250 0.569 0.250 Hg
0.569 0.931 0.250 Hg
0.931 0.250 0.250 Hg
0.875 0.875 0.374 Li
0.375 0.375 0.874 Li
0.125 0.125 0.626 Li
0.625 0.625 0.126 Li

# 9
LiHg2 (GGA-PBE, relaxed); SG = P4/mmm (123)
1.0
4.652 0.000 0.000
0.000 4.652 0.000
0.000 0.000 3.217
Hg Li
2 1
Direct
0.000 0.500 0.500 Hg
0.500 0.000 0.500 Hg
0.000 0.000 0.000 Li

# 10
LiHg (GGA-PBE, relaxed); SG = Pmmn (59)
1.0
3.381 0.000 0.000
0.000 3.889 0.000
0.000 0.000 5.959
Hg Li
2 2
Direct
0.000 0.000 0.041 Hg
0.500 0.500 0.709 Hg
0.000 0.000 0.518 Li
0.500 0.500 0.232 Li

# 11
LiHg2 (GGA-PBE, relaxed); SG = Fd-3m (227)
1.0
5.911 0.000 0.000
2.956 5.119 0.000
2.956 1.706 4.827
Hg Li
4 2
Direct
0.125 0.625 0.625 Hg
0.625 0.125 0.625 Hg
0.625 0.625 0.625 Hg
0.625 0.625 0.125 Hg
0.000 0.000 0.000 Li
0.250 0.250 0.250 Li

# 12
Li4Hg (GGA-PBE, relaxed); SG = Pm-3m (221); excess energy over the best structure of this formula in the dataset = 250.6 meV per atom
1.0
5.062 0.000 0.000
0.000 5.062 0.000
0.000 0.000 5.062
Hg Li
1 4
Direct
0.500 0.500 0.500 Hg
0.000 0.000 0.000 Li
0.500 0.000 0.500 Li
0.000 0.500 0.500 Li
0.500 0.500 0.000 Li

# 13
LiHg2 (GGA-PBE, relaxed); SG = Fd-3m (227)
1.0
-5.902 6.773 0.487
-8.161 -0.870 -3.686
-7.260 -0.729 5.264
Hg Li
16 8
Direct
0.000 0.500 0.000 Hg
0.500 0.000 0.000 Hg
0.500 0.500 0.000 Hg
0.500 0.500 0.500 Hg
0.939 0.939 0.811 Hg
0.939 0.311 0.811 Hg
0.311 0.939 0.811 Hg
0.939 0.311 0.439 Hg
0.311 0.939 0.439 Hg
0.311 0.311 0.439 Hg
0.061 0.061 0.189 Hg
0.061 0.689 0.189 Hg
0.689 0.061 0.189 Hg
0.061 0.689 0.561 Hg
0.689 0.061 0.561 Hg
0.689 0.689 0.561 Hg
0.716 0.716 0.852 Li
0.716 0.716 0.216 Li
0.716 0.352 0.216 Li
0.352 0.716 0.216 Li
0.284 0.284 0.148 Li
0.284 0.284 0.784 Li
0.284 0.648 0.784 Li
0.648 0.284 0.784 Li

# 14
Li5Hg7 (GGA-PBE, relaxed); SG = C2/m (12)
1.0
-4.314 0.946 1.689
-0.853 -0.390 4.659
1.605 12.013 3.985
Li Hg
5 7
Direct
0.852 0.860 0.436 Li
0.148 0.140 0.564 Li
0.610 0.609 0.171 Li
0.390 0.391 0.829 Li
0.000 0.000 0.000 Li
0.782 0.775 0.661 Hg
0.218 0.225 0.339 Hg
0.926 0.930 0.218 Hg
0.074 0.070 0.782 Hg
0.312 0.311 0.066 Hg
0.500 0.500 0.500 Hg
0.688 0.689 0.934 Hg

# 15
LiHg3 (GGA-PBE, relaxed); SG = Cmmm (65)
1.0
-1.676 -3.236 -3.918
0.182 -2.595 4.676
-3.268 0.920 0.638
Hg Li
3 1
Direct
0.000 0.500 0.500 Hg
0.500 0.000 0.500 Hg
0.500 0.500 0.000 Hg
0.000 0.000 0.000 Li

# 16
Li5Hg (GGA-PBE, relaxed); SG = P4/mmm (123)
1.0
3.505 0.000 0.000
0.000 3.505 0.000
0.000 0.000 9.357
Hg Li
1 5
Direct
0.500 0.500 0.000 Hg
0.000 0.000 0.851 Li
0.000 0.000 0.149 Li
0.500 0.500 0.681 Li
0.500 0.500 0.319 Li
0.000 0.000 0.500 Li

# 17
LiHg2 (GGA-PBE, relaxed); SG = P6_3/mmc (194)
1.0
-1.568 -3.040 -3.479
-0.597 -1.158 4.702
-5.408 2.789 0.000
Hg Li
4 2
Direct
0.000 0.000 0.000 Hg
0.000 0.000 0.500 Hg
0.333 0.667 0.250 Hg
0.667 0.333 0.750 Hg
0.667 0.333 0.250 Li
0.333 0.667 0.750 Li

# 18
Li3Hg2 (GGA-PBE, relaxed); SG = R-3m (166); excess energy over the best structure of this formula in the dataset = 127.2 meV per atom
1.0
11.699 -1.590 0.056
11.699 1.590 0.056
11.469 0.000 2.800
Li Hg
3 2
Direct
0.000 0.000 0.000 Li
0.798 0.798 0.798 Li
0.202 0.202 0.202 Li
0.399 0.399 0.399 Hg
0.601 0.601 0.601 Hg

# 19
LiHg3 (GGA-PBE, relaxed); SG = I4/mmm (139)
1.0
-3.135 -2.509 -3.530
2.295 -4.775 -0.722
-1.355 2.419 4.572
Hg Li
3 1
Direct
0.250 0.750 0.500 Hg
0.500 0.500 0.000 Hg
0.750 0.250 0.500 Hg
0.000 0.000 0.000 Li

# 20
Li4Hg3 (GGA-PBE, relaxed); SG = I4/mmm (139); excess energy over the best structure of this formula in the dataset = 63.4 meV per atom
1.0
-5.462 6.568 -6.791
-3.682 3.029 -9.816
2.506 -6.145 8.663
Hg Li
3 4
Direct
0.000 0.000 0.000 Hg
0.702 0.702 0.000 Hg
0.298 0.298 0.000 Hg
0.857 0.857 0.000 Li
0.143 0.143 0.000 Li
0.568 0.568 0.000 Li
0.432 0.432 0.000 Li

Computed density of states at the Fermi level, in the same sequence as the records: 0.215, 0.353, 0.298, 0.457, 1.158, 0.336, 0.285, 0.380, 0.311, 0.336, 0.124, 0.344, 0.417, 0.280, 0.379, 0.292, 0.387, 0.312, 0.234, 0.439 states/eV/atom.
Computed ρ, in the same sequence as the records: 11.72, 8.57, 10.98, 9.92, 4.83, 3.60, 10.45, 9.80, 9.74, 8.80, 9.28, 2.92, 10.53, 9.86, 10.94, 3.40, 10.81, 6.86, 11.22, 7.92 g/cm³.
Computed formation enthalpy at 0 K, in the same sequence as the records: -0.0328, -0.3193, -0.1149, -0.1492, 0.1419, -0.1871, -0.1249, -0.1976, -0.2146, -0.2862, -0.0890, 0.0220, -0.1995, -0.2871, -0.1439, -0.1475, -0.2366, -0.2001, -0.1779, -0.2890 eV per atom.